Model P:
Density functional theory data (PBE-GGA) for a relaxed structure of AlReSb.

magnetization	0.00	μB per formula unit

abc: 3.1867 3.1867 6.3002
angles: 90.00 90.00 120.00
With the nearest neighbours (Å) after each atom.
Space group P3m1 (No. 156)
Inequivalent atoms, fractional coordinates:
Al 0.0000 0.0000 0.0000 x1  3 Re 2.61
Re 0.6667 0.3333 0.2933 x1  3 Al 2.61, 3 Sb 2.71
Sb 0.3333 0.6667 0.6097 x1  3 Re 2.71



Model Q:
Density functional theory data (PBE-GGA) for a relaxed structure of AlReSb.

magnetization	0.00	μB per formula unit

abc: 3.2991 5.0098 13.6402
angles: 90.00 90.00 90.00
With the nearest neighbours (Å) after each atom.
Space group Fmm2 (No. 42)
Inequivalent atoms, fractional coordinates:
Al 0.0000 0.0000 0.0000 x4  2 Re 2.54
Re 0.0000 0.0000 0.3583 x4  2 Al 2.54, 2 Sb 2.77
Sb 0.0000 0.0000 0.6952 x4  2 Re 2.77, 4 Sb 3.00



Model R:
Density functional theory data (PBE-GGA) for a relaxed structure of AlReSb.

magnetization	0.00	μB per formula unit

abc: 4.7618 4.7618 2.7855
angles: 90.00 90.00 120.00
With the nearest neighbours (Å) after each atom.
Space group P-6m2 (No. 187)
Inequivalent atoms, fractional coordinates:
Al 0.0000 0.0000 0.0000 x1  2 Al 2.79, 6 Sb 3.08, 6 Re 3.08
Re 0.6667 0.3333 0.5000 x1  3 Sb 2.75, 2 Re 2.79
Sb 0.3333 0.6667 0.5000 x1  3 Re 2.75, 2 Sb 2.79



Quick one: most stable of them? model P



Model P:
Density functional theory data (PBE-GGA) for a relaxed structure of AlReSb.

magnetization	0.00	μB per formula unit

abc: 3.4480 3.4480 8.6421
angles: 90.00 90.00 90.00
With the nearest neighbours (Å) after each atom.
Space group I4mm (No. 107)
Inequivalent atoms, fractional coordinates:
Al 0.0000 0.0000 0.0000 x2  5 Re 2.75-3.05, 5 Sb 2.77-2.89
Re 0.0000 0.0000 0.6473 x2  5 Al 2.75-3.05, 5 Sb 2.83-2.86
Sb 0.0000 0.0000 0.3204 x2  5 Al 2.77-2.89, 5 Re 2.83-2.86



Model Q:
Density functional theory data (PBE-GGA) for a relaxed structure of AlReSb.

magnetization	0.00	μB per formula unit

abc: 6.2299 6.2299 6.2299
angles: 90.00 90.00 90.00
With the nearest neighbours (Å) after each atom.
Space group F-43m (No. 216)
Inequivalent atoms, fractional coordinates:
Al 0.0000 0.0000 0.0000 x4  4 Re 2.70
Re 0.2500 0.2500 0.2500 x4  4 Sb 2.70, 4 Al 2.70
Sb 0.0000 0.0000 0.5000 x4  4 Re 2.70



Quick one: most stable of them? model P



Model P:
Density functional theory data (PBE-GGA) for a relaxed structure of AlRe2Sb.

magnetization	0.00	μB per formula unit

abc: 3.9717 3.9717 8.2296
angles: 90.00 90.00 90.00
With the nearest neighbours (Å) after each atom.
Space group I-4m2 (No. 119)
Inequivalent atoms, fractional coordinates:
Al 0.0000 0.0000 0.0000 x2  8 Re 2.81-2.86, 4 Sb 2.86
Re 0.0000 0.0000 0.5000 x2  4 Al 2.81, 4 Sb 2.86, 4 Re 2.86
Re 0.0000 0.5000 0.7500 x2  4 Sb 2.81, 4 Re 2.86, 4 Al 2.86
Sb 0.0000 0.5000 0.2500 x2  8 Re 2.81-2.86, 4 Al 2.86



Model Q:
Density functional theory data (PBE-GGA) for a relaxed structure of AlRe2Sb.

magnetization	0.00	μB per formula unit

abc: 2.9809 2.9809 25.7494
angles: 90.00 90.00 120.00
With the nearest neighbours (Å) after each atom.
Space group R-3m (No. 166, hexagonal axes)
Inequivalent atoms, fractional coordinates:
Al 0.0000 0.0000 0.0000 x3  6 Re 2.72, 6 Al 2.98
Re 0.0000 0.0000 0.2515 x6  3 Al 2.72, 3 Sb 2.78, 6 Re 2.98
Sb 0.0000 0.0000 0.5000 x3  6 Re 2.78, 6 Sb 2.98



Quick one: most stable of them? model P



Model P:
Density functional theory data (PBE-GGA) for a relaxed structure of AlRe2Sb.

magnetization	0.00	μB per formula unit

abc: 3.1927 3.1927 6.2732
angles: 90.00 90.00 90.00
With the nearest neighbours (Å) after each atom.
Space group P4/mmm (No. 123)
Inequivalent atoms, fractional coordinates:
Al 0.0000 0.0000 0.0000 x1  8 Re 2.69
Re 0.5000 0.5000 0.2321 x2  4 Al 2.69, 4 Sb 2.81, 1 Re 2.91
Sb 0.0000 0.0000 0.5000 x1  8 Re 2.81, 2 Al 3.14



Model Q:
Density functional theory data (PBE-GGA) for a relaxed structure of AlRe2Sb.

magnetization	0.00	μB per formula unit

abc: 9.3706 3.1136 4.7583
angles: 90.00 109.03 90.00
With the nearest neighbours (Å) after each atom.
Space group Cm (No. 8)
Inequivalent atoms, fractional coordinates:
Al 0.0000 0.0000 0.0000 x2  7 Re 2.67-2.86, 2 Sb 2.97
Re 0.0247 0.5000 0.5179 x2  3 Sb 2.68-2.74, 2 Re 2.73, 4 Al 2.84-2.86
Re 0.2544 0.0000 0.8624 x2  3 Al 2.67-2.68, 2 Re 2.73, 4 Sb 2.74-2.95
Sb 0.2695 0.5000 0.3453 x2  7 Re 2.68-2.95, 2 Al 2.97



Model R:
Density functional theory data (PBE-GGA) for a relaxed structure of AlRe2Sb.

magnetization	0.00	μB per formula unit

abc: 8.7973 3.0195 5.0760
angles: 90.00 100.70 90.00
With the nearest neighbours (Å) after each atom.
Space group C2/m (No. 12)
Inequivalent atoms, fractional coordinates:
Al 0.0000 0.0000 0.0000 x2  6 Re 2.64-2.75, 4 Sb 2.95
Re 0.2363 0.5000 0.2166 x4  3 Al 2.64-2.75, 2 Re 2.71, 3 Sb 2.74-2.91
Sb 0.0000 0.5000 0.5000 x2  6 Re 2.74-2.91, 4 Al 2.95, 2 Sb 3.02



Model S:
Density functional theory data (PBE-GGA) for a relaxed structure of AlRe2Sb.

magnetization	0.00	μB per formula unit

abc: 6.3400 6.3400 6.3400
angles: 90.00 90.00 90.00
With the nearest neighbours (Å) after each atom.
Space group Fm-3m (No. 225)
Inequivalent atoms, fractional coordinates:
Al 0.0000 0.0000 0.0000 x4  8 Re 2.75
Re 0.2500 0.2500 0.2500 x8  4 Sb 2.75, 4 Al 2.75
Sb 0.0000 0.0000 0.5000 x4  8 Re 2.75



Quick one: most stable of them? model Q



Model P:
Density functional theory data (PBE-GGA) for a relaxed structure of AlRe2Sb.

magnetization	0.00	μB per formula unit

abc: 3.0566 4.5839 4.6651
angles: 90.00 90.00 90.00
With the nearest neighbours (Å) after each atom.
Space group Pmm2 (No. 25)
Inequivalent atoms, fractional coordinates:
Al 0.0000 0.0000 0.0000 x1  6 Re 2.69-2.82, 4 Sb 2.88
Re 0.0000 0.5000 0.6992 x1  2 Al 2.69, 4 Sb 2.72-2.85, 4 Re 2.90
Re 0.5000 0.0000 0.5070 x1  2 Sb 2.75, 4 Al 2.76-2.82, 6 Re 2.90-3.06
Sb 0.5000 0.5000 0.1826 x1  6 Re 2.72-2.85, 4 Al 2.88



Model Q:
Density functional theory data (PBE-GGA) for a relaxed structure of AlRe2Sb.

magnetization	0.00	μB per formula unit

abc: 6.4474 6.4474 6.4474
angles: 90.00 90.00 90.00
With the nearest neighbours (Å) after each atom.
Space group F-43m (No. 216)
Inequivalent atoms, fractional coordinates:
Al 0.0000 0.0000 0.0000 x4  4 Sb 2.79, 4 Re 2.79
Re 0.0000 0.0000 0.5000 x4  4 Re 2.79, 4 Sb 2.79
Re 0.2500 0.2500 0.7500 x4  4 Re 2.79, 4 Al 2.79
Sb 0.2500 0.2500 0.2500 x4  4 Re 2.79, 4 Al 2.79



Model R:
Density functional theory data (PBE-GGA) for a relaxed structure of AlRe2Sb.

magnetization	0.00	μB per formula unit

abc: 4.0924 4.0924 18.1531
angles: 90.00 90.00 90.00
With the nearest neighbours (Å) after each atom.
Space group I-42d (No. 122)
Inequivalent atoms, fractional coordinates:
Al 0.0000 0.0000 0.0000 x4  4 Re 2.59, 4 Sb 2.89
Re 0.1744 0.2500 0.1250 x8  2 Re 2.50, 2 Al 2.59
Sb 0.0000 0.0000 0.5000 x4  4 Re 2.82, 4 Al 2.89



Quick one: most stable of them? model P



Model P:
Density functional theory data (PBE-GGA) for a relaxed structure of AlRe2Sb.

magnetization	0.00	μB per formula unit

abc: 3.1678 4.9207 8.6319
angles: 90.00 90.00 90.00
With the nearest neighbours (Å) after each atom.
Space group Cmmm (No. 65)
Inequivalent atoms, fractional coordinates:
Al 0.0000 0.0000 0.0000 x2  4 Re 2.58
Re 0.0000 0.5000 0.2358 x4  2 Al 2.58, 2 Sb 2.78
Sb 0.0000 0.0000 0.5000 x2  4 Re 2.78, 4 Sb 2.93



Model Q:
Density functional theory data (PBE-GGA) for a relaxed structure of AlRe2Sb.

magnetization	0.00	μB per formula unit

abc: 4.6862 3.0101 5.0198
angles: 90.00 112.14 90.00
With the nearest neighbours (Å) after each atom.
Space group P2/m (No. 10)
Inequivalent atoms, fractional coordinates:
Al 0.0000 0.0000 0.0000 x1  6 Re 2.71-2.78, 4 Sb 2.93, 2 Al 3.01
Re 0.5000 0.0000 0.5000 x1  2 Al 2.71, 4 Sb 2.78, 6 Re 2.93-3.01
Re 0.5000 0.5000 0.0000 x1  2 Sb 2.71, 4 Al 2.78, 6 Re 2.93-3.01
Sb 0.0000 0.5000 0.5000 x1  6 Re 2.71-2.78, 4 Al 2.93, 2 Sb 3.01



Quick one: most stable of them? model Q



Model P:
Density functional theory data (PBE-GGA) for a relaxed structure of AlReSb2Te.

magnetization	0.00	μB per formula unit

abc: 5.1770 5.1770 4.9198
angles: 90.00 90.00 90.00
With the nearest neighbours (Å) after each atom.
Space group P4/mmm (No. 123)
Inequivalent atoms, fractional coordinates:
Al 0.0000 0.0000 0.0000 x1  2 Re 2.46
Re 0.0000 0.0000 0.5000 x1  2 Al 2.46, 4 Sb 2.59
Sb 0.0000 0.5000 0.5000 x2  2 Re 2.59
Te 0.5000 0.5000 0.0000 x1  8 Sb 3.57, 4 Al 3.66



Model Q:
Density functional theory data (PBE-GGA) for a relaxed structure of AlReSb2Te.

magnetization	3.27	μB per formula unit

abc: 5.1635 5.1635 5.2135
angles: 90.00 90.00 90.00
With the nearest neighbours (Å) after each atom.
Space group P4/mmm (No. 123)
Inequivalent atoms, fractional coordinates:
Al 0.0000 0.0000 0.0000 x1  4 Sb 2.58, 2 Te 2.61
Re 0.5000 0.5000 0.5000 x1  4 Te 3.65, 8 Sb 3.67
Sb 0.0000 0.5000 0.0000 x2  2 Al 2.58
Te 0.0000 0.0000 0.5000 x1  2 Al 2.61



Quick one: most stable of them? model P



Model P:
Density functional theory data (PBE-GGA) for a relaxed structure of ScAl4Re.

magnetization	0.00	μB per formula unit

abc: 12.4493 6.1901 6.2081
angles: 90.00 116.01 90.00
With the nearest neighbours (Å) after each atom.
Space group C2/m (No. 12)
Inequivalent atoms, fractional coordinates:
Sc 0.2073 0.0000 0.3955 x4  1 Re 2.84, 7 Al 2.90-2.99
Al 0.0000 0.1971 0.0000 x4  1 Al 2.44, 2 Re 2.52
Al 0.1113 0.2334 0.6778 x8  2 Re 2.59-2.70, 5 Al 2.68-2.90, 1 Sc 2.90
Al 0.1833 0.5000 0.0810 x4  2 Re 2.62-2.77, 6 Al 2.74-2.82, 1 Sc 2.92
Re 0.0434 0.5000 0.2968 x4  8 Al 2.52-2.77



Model Q:
Density functional theory data (PBE-GGA) for a relaxed structure of ScAl4Re.

magnetization	0.00	μB per formula unit

abc: 7.2392 7.2392 7.2392
angles: 90.00 90.00 90.00
With the nearest neighbours (Å) after each atom.
Space group F-43m (No. 216)
Inequivalent atoms, fractional coordinates:
Sc 0.0000 0.0000 0.0000 x4  12 Al 3.00, 4 Re 3.13
Al 0.1250 0.1250 0.6250 x16  6 Al 2.56
Re 0.2500 0.2500 0.2500 x4  12 Al 3.00, 4 Sc 3.13



Quick one: most stable of them? model P



Model P:
Density functional theory data (PBE-GGA) for a relaxed structure of ScAl3Re.

magnetization	0.89	μB per formula unit

abc: 4.7757 4.7757 4.7757
angles: 90.00 90.00 90.00
With the nearest neighbours (Å) after each atom.
Space group Pm-3m (No. 221)
Inequivalent atoms, fractional coordinates:
Sc 0.0000 0.0000 0.0000 x1  6 Al 2.39
Al 0.0000 0.0000 0.5000 x3  2 Sc 2.39
Re 0.5000 0.5000 0.5000 x1  12 Al 3.38



Model Q:
Density functional theory data (PBE-GGA) for a relaxed structure of ScAl3Re.

magnetization	0.00	μB per formula unit

abc: 4.7236 4.7236 4.7236
angles: 90.00 90.00 90.00
With the nearest neighbours (Å) after each atom.
Space group Pm-3m (No. 221)
Inequivalent atoms, fractional coordinates:
Sc 0.0000 0.0000 0.0000 x1  12 Al 3.34
Al 0.0000 0.5000 0.5000 x3  2 Re 2.36
Re 0.5000 0.5000 0.5000 x1  6 Al 2.36



Quick one: most stable of them? model Q



Model P:
Density functional theory data (PBE-GGA) for a relaxed structure of AlReSe.

magnetization	0.00	μB per formula unit

abc: 3.0568 3.0568 10.9239
angles: 90.00 90.00 90.00
With the nearest neighbours (Å) after each atom.
Space group I4mm (No. 107)
Inequivalent atoms, fractional coordinates:
Al 0.0000 0.0000 0.0000 x2  4 Re 2.69
Re 0.0000 0.0000 0.6459 x2  4 Se 2.60, 4 Al 2.69
Se 0.0000 0.0000 0.2777 x2  4 Re 2.60



Model Q:
Density functional theory data (PBE-GGA) for a relaxed structure of AlReSe.

magnetization	0.00	μB per formula unit

abc: 3.1328 3.1328 5.8294
angles: 90.00 90.00 120.00
With the nearest neighbours (Å) after each atom.
Space group P3m1 (No. 156)
Inequivalent atoms, fractional coordinates:
Al 0.0000 0.0000 0.0000 x1  3 Re 2.62, 3 Se 2.82
Re 0.6667 0.3333 0.3254 x1  3 Se 2.53, 3 Al 2.62
Se 0.3333 0.6667 0.6290 x1  3 Re 2.53, 3 Al 2.82



Model R:
Density functional theory data (PBE-GGA) for a relaxed structure of AlReSe.

magnetization	0.00	μB per formula unit

abc: 2.9526 4.9300 15.0641
angles: 90.00 90.00 90.00
With the nearest neighbours (Å) after each atom.
Space group Fmm2 (No. 42)
Inequivalent atoms, fractional coordinates:
Al 0.0000 0.0000 0.0000 x4  2 Re 2.67, 6 Al 2.87-2.95
Re 0.0000 0.0000 0.6476 x4  2 Se 2.51, 2 Al 2.67
Se 0.0000 0.0000 0.2821 x4  2 Re 2.51



Quick one: most stable of them? model Q



Model P:
Density functional theory data (PBE-GGA) for a relaxed structure of AlReSe.

magnetization	0.00	μB per formula unit

abc: 4.3621 4.3621 2.9346
angles: 90.00 90.00 120.00
With the nearest neighbours (Å) after each atom.
Space group P-6m2 (No. 187)
Inequivalent atoms, fractional coordinates:
Al 0.0000 0.0000 0.0000 x1  6 Se 2.91, 6 Re 2.91, 2 Al 2.93
Re 0.3333 0.6667 0.5000 x1  3 Se 2.52
Se 0.6667 0.3333 0.5000 x1  3 Re 2.52



Model Q:
Density functional theory data (PBE-GGA) for a relaxed structure of AlReSe.

magnetization	1.05	μB per formula unit

abc: 6.0036 6.0036 6.0036
angles: 90.00 90.00 90.00
With the nearest neighbours (Å) after each atom.
Space group F-43m (No. 216)
Inequivalent atoms, fractional coordinates:
Al 0.0000 0.0000 0.0000 x4  4 Se 2.60
Re 0.0000 0.0000 0.5000 x4  4 Se 2.60
Se 0.2500 0.2500 0.7500 x4  4 Re 2.60, 4 Al 2.60



Model R:
Density functional theory data (PBE-GGA) for a relaxed structure of AlReSe.

magnetization	0.00	μB per formula unit

abc: 6.0443 6.0443 6.0443
angles: 90.00 90.00 90.00
With the nearest neighbours (Å) after each atom.
Space group F-43m (No. 216)
Inequivalent atoms, fractional coordinates:
Al 0.0000 0.0000 0.0000 x4  4 Re 2.62
Re 0.2500 0.2500 0.2500 x4  4 Se 2.62, 4 Al 2.62
Se 0.0000 0.0000 0.5000 x4  4 Re 2.62



Model S:
Density functional theory data (PBE-GGA) for a relaxed structure of AlReSe.

magnetization	0.00	μB per formula unit

abc: 2.9749 2.9749 28.9658
angles: 90.00 90.00 120.00
With the nearest neighbours (Å) after each atom.
Space group P-3m1 (No. 164)
Inequivalent atoms, fractional coordinates:
Al 0.3333 0.6667 0.1084 x2  6 Re 2.69-2.74, 6 Al 2.97
Al 0.3333 0.6667 0.6376 x2  3 Se 2.69, 6 Al 2.97
Re 0.3333 0.6667 0.8201 x2  3 Se 2.49, 3 Al 2.69
Re 0.3333 0.6667 0.9652 x2  3 Re 2.65, 3 Al 2.74
Se 0.3333 0.6667 0.2422 x2  3 Re 2.49
Se 0.3333 0.6667 0.4341 x2  3 Al 2.69, 6 Se 2.97



Quick one: most stable of them? model S